NdHo6Tl2, optimized geometry, DFT GGA-PBE; density = 7.74 g/cm³; excess energy over the best structure of this formula in the dataset = 0.691 eV per atom; crystal system = tetragonal; space group = I-42m (121); energy = -0.261 Ry/atom; ΔE_f = 550 meV per atom
1.0
-3.3806 0.9330 4.4258
-4.3017 -2.3705 -2.7861
6.4098 -8.5439 3.0950
Ho Tl Nd
6 2 1
Direct
0.7405 0.7405 0.8655
0.7500 0.2500 0.5000
0.2595 0.8750 0.1345
0.8750 0.2595 0.1345
0.2500 0.7500 0.5000
0.1250 0.1250 0.8655
0.1923 0.1923 0.3846
0.8077 0.8077 0.6154
0.5000 0.5000 0.0000